[1]
A geometry-optimized AcPm2Dy2Er2 structure, computed with PBE.

Computed properties:
The symmetry is No. 12. The value obtained for the formation energy is 0.30 eV per formula unit. As for the calculated volume: 33.776 Å³/atom. As for the density of states at the Fermi level: 1.496 states/eV/atom. As for the size of the total moment: 0.0000 μB per atom.

```
7
Lattice="5.721 -2.557 0.000 5.721 2.557 0.000 -1.176 0.000 8.082" Properties=species:S:1:pos:R:3 pbc="T T T"
Ac 0.000 0.000 0.000
Pm 1.117 0.000 3.494
Pm 9.149 0.000 4.588
Dy 2.248 0.000 6.894
Dy 8.018 0.000 1.188
Er 4.535 0.000 2.344
Er 5.731 0.000 5.738
```

[2]
A geometry-optimized NpMnSn structure, computed with PBE.

Computed properties:
The symmetry is No. 12. The value obtained for the formation energy is 0.14 eV per formula unit. As for the calculated volume: 20.561 Å³/atom. As for the density of states at the Fermi level: 1.408 states/eV/atom. As for the size of the total moment: 0.6249 μB per atom.

```
6
Lattice="5.349 -2.465 0.000 5.349 2.465 0.000 -2.024 0.000 4.678" Properties=species:S:1:pos:R:3 pbc="T T T"
Np 0.908 0.000 1.261
Np 7.766 0.000 3.417
Mn 0.099 0.000 3.176
Mn 8.575 0.000 1.503
Sn 3.976 0.000 0.673
Sn 4.698 0.000 4.006
```

[3]
A geometry-optimized MnSiTe2I structure, computed with PBE.

Computed properties:
The symmetry is No. 123. For the uncorrected formation energy, the calculation gives 769 meV per atom. As for the calculated volume: 26.972 Å³/atom. As for the density of states at the Fermi level: 1.484 states/eV/atom. The calculation puts the energy above the most stable polymorph in this dataset at 179 meV per atom. As for the size of the total moment: 0.0004 μB per atom.

```
5
Lattice="4.936 0.000 0.000 0.000 4.936 0.000 0.000 0.000 5.535" Properties=species:S:1:pos:R:3 pbc="T T T"
Mn 0.000 0.000 0.000
Si 2.468 2.468 2.768
Te 0.000 2.468 0.000
Te 2.468 0.000 0.000
I 0.000 0.000 2.768
```

[4]
A geometry-optimized Er2Al9Ir3 structure, computed with PBE.

Computed properties:
The symmetry is No. 15. The value obtained for the formation energy is -11.97 eV per formula unit. As for the calculated volume: 16.686 Å³/atom. As for the density of states at the Fermi level: 0.426 states/eV/atom. As for the size of the total moment: 0.0000 μB per atom.

```
28
Lattice="6.557 -3.766 0.000 6.557 3.766 0.000 -4.365 0.000 9.460" Properties=species:S:1:pos:R:3 pbc="T T T"
Er 1.128 0.624 2.364
Er -1.055 -0.624 7.094
Er 9.804 0.624 2.366
Er 7.621 -0.624 7.096
Al 5.463 3.138 0.706
Al 5.469 3.138 4.024
Al 1.108 0.628 5.414
Al 4.092 1.391 2.384
Al 1.104 0.637 8.934
Al 3.290 -0.628 0.684
Al 3.283 0.981 7.095
Al 6.839 1.391 2.347
Al 3.286 -0.637 4.204
Al 5.463 0.637 5.257
Al 1.910 -1.391 7.114
Al 5.466 -0.981 2.365
Al 5.459 0.628 8.777
Al 7.645 -0.637 0.527
Al 4.657 -1.391 7.077
Al 7.641 -0.628 4.046
Al 3.280 -3.138 5.436
Al 3.286 -3.138 8.755
Ir 3.278 1.883 0.000
Ir 3.248 1.944 4.724
Ir 7.684 1.944 0.007
Ir 1.096 -1.883 4.730
Ir 1.065 -1.944 9.454
Ir 5.502 -1.944 4.737
```

The highest calculated volume belongs to which entry? AcPm2Dy2Er2

size of the total moment of number 2 (NpMnSn)? 0.6249 μB per atom

Which of these has the highest calculated volume? AcPm2Dy2Er2

Repeat the third record exactly.
A geometry-optimized MnSiTe2I structure, computed with PBE.

Computed properties:
The symmetry is No. 123. For the uncorrected formation energy, the calculation gives 769 meV per atom. As for the calculated volume: 26.972 Å³/atom. As for the density of states at the Fermi level: 1.484 states/eV/atom. The calculation puts the energy above the most stable polymorph in this dataset at 179 meV per atom. As for the size of the total moment: 0.0004 μB per atom.

```
5
Lattice="4.936 0.000 0.000 0.000 4.936 0.000 0.000 0.000 5.535" Properties=species:S:1:pos:R:3 pbc="T T T"
Mn 0.000 0.000 0.000
Si 2.468 2.468 2.768
Te 0.000 2.468 0.000
Te 2.468 0.000 0.000
I 0.000 0.000 2.768
```